No. 1
SmErMnAg: optimized geometry, GGA-PBE.

Cell lengths 5.1208, 5.1208, 5.1208 Å; angles 60.00, 60.00, 60.00 degrees
With the nearest neighbours (Å) after each atom.
Atoms (fractional coordinates):
Mn 0.5000 0.5000 0.5000  4 Sm 3.14, 4 Er 3.14
Ag 0.0000 0.0000 0.0000  4 Er 3.14, 4 Sm 3.14
Sm 0.2500 0.2500 0.2500  4 Ag 3.14, 4 Mn 3.14
Er 0.7500 0.7500 0.7500  4 Mn 3.14, 4 Ag 3.14

Space group: F-43m, No. 216
Formation energy from the elements (eV per atom): 0.008

***

No. 2
ErTmMnAg: optimized geometry, GGA-PBE.

Cell lengths 5.0340, 5.0340, 5.0340 Å; angles 60.00, 60.00, 60.00 degrees
With the nearest neighbours (Å) after each atom.
Atoms (fractional coordinates):
Er 0.0000 0.0000 0.0000  4 Mn 3.08, 4 Ag 3.08
Tm 0.5000 0.5000 0.5000  4 Ag 3.08, 4 Mn 3.08
Ag 0.2500 0.2500 0.2500  4 Er 3.08, 4 Tm 3.08
Mn 0.7500 0.7500 0.7500  4 Tm 3.08, 4 Er 3.08

Space group: F-43m, No. 216
Formation energy from the elements (eV per atom): -0.025

***

No. 3
YErMnAg: optimized geometry, GGA-PBE.

Cell lengths 5.0786, 5.0786, 5.0786 Å; angles 60.00, 60.00, 60.00 degrees
With the nearest neighbours (Å) after each atom.
Atoms (fractional coordinates):
Mn 0.5000 0.5000 0.5000  4 Er 3.11, 4 Y 3.11
Y 0.2500 0.2500 0.2500  4 Mn 3.11, 4 Ag 3.11
Er 0.7500 0.7500 0.7500  4 Mn 3.11, 4 Ag 3.11
Ag 0.0000 0.0000 0.0000  4 Er 3.11, 4 Y 3.11

Space group: F-43m, No. 216
Formation energy from the elements (eV per atom): -0.014